DFT (PBE+U) results for a relaxed structure of CoMoOF2.

As for the density of states at the Fermi level: 0.01 states/eV per atom. As for the energy relative to the lowest polymorph listed for this composition: 0.020 eV per atom.

The structure belongs to space group P4/mmm (No. 123); the cell edges are 3.815, 3.815 and 4.472 Å and the angles 90.00°, 90.00° and 90.00°. Symmetry generates all atoms from Co at (0.000, 0.000, 0.000), Mo at (0.500, 0.500, 0.500), O at (0.000, 0.000, 0.500) and F at (0.000, 0.500, 0.000).